Entry from Alexandria: crystalline RbCrTcO6 at its relaxed geometry (GGA+U).

The structure in extended XYZ format:
```
9
Lattice="5.0673 0.0000 0.0000 2.5314 4.6376 0.0000 0.2254 0.0009 6.2390" Properties=species:S:1:pos:R:3 pbc="T T T"
Rb 0.0000 0.0000 0.0000
Cr 2.6469 1.4116 3.0929
Tc 5.1865 3.0748 3.1210
O 1.2276 1.9233 4.2242
O 4.5582 4.5799 2.0907
O 3.8008 2.6644 4.2499
O 4.0607 1.9484 1.9834
O 5.8209 4.5789 4.1119
O 6.5478 2.6524 1.9574
```

## Properties
E_tot = -61.68 eV per cell
Total magnetic moment = 2.00 Bohr magnetons per cell